(1)
The following is a DFT calculation (PBE) of a geometry-optimized HoTlB4 structure.

```
HoTlB4
1.0
3.201 0.000 0.000
-1.601 2.772 0.000
0.000 0.000 9.060
Tl B Ho
1 4 1
Direct
0.000 0.000 0.000
0.333 0.667 0.708
0.667 0.333 0.292
0.667 0.333 0.708
0.333 0.667 0.292
0.000 0.000 0.500
```

Results
Space-group type: P6/mmm, No. 191
Energy above the most stable polymorph in this dataset, kJ/mol of atoms: 8.95

(2)
The following is a DFT calculation (PBE) of a geometry-optimized HoTlB4 structure.

```
HoTlB4
1.0
-1.609 2.667 4.220
1.609 -2.667 4.220
1.609 2.667 -4.220
B Tl Ho
4 1 1
Direct
0.587 0.262 0.325
0.937 0.262 0.675
0.413 0.738 0.675
0.063 0.738 0.325
0.500 0.500 0.000
0.000 0.000 0.000
```

Results
Space-group type: Immm, No. 71
Energy above the most stable polymorph in this dataset, kJ/mol of atoms: 0.00

(3)
The following is a DFT calculation (PBE) of a geometry-optimized HoTmTlB structure.

```
HoTmTlB
1.0
-1.920 2.923 0.885
1.714 -1.875 2.561
13.591 9.562 -2.095
Ho Tm Tl B
2 2 2 2
Direct
0.333 0.667 0.408
0.667 0.333 0.592
0.333 0.667 0.090
0.667 0.333 0.910
0.667 0.333 0.248
0.333 0.667 0.752
0.000 0.000 0.000
0.000 0.000 0.500
```

Results
Space-group type: P-3m1, No. 164

(4)
The following is a DFT calculation (PBE) of a geometry-optimized HoTmTlB structure.

```
HoTmTlB
1.0
-0.238 -2.212 -2.839
3.223 0.755 1.432
-1.520 -13.096 10.331
B Tl Ho Tm
2 2 2 2
Direct
0.000 0.000 0.751
0.000 0.000 0.249
0.667 0.333 0.000
0.333 0.667 0.500
0.667 0.333 0.340
0.667 0.333 0.660
0.333 0.667 0.842
0.333 0.667 0.158
```

Results
Space-group type: P-6m2, No. 187

(5)
The following is a DFT calculation (PBE) of a geometry-optimized HoTm3Tl2B2 structure.

```
HoTm3Tl2B2
1.0
-1.548 2.353 -2.240
1.996 -2.691 -1.314
-13.585 -9.689 -0.790
Tm Tl B Ho
3 2 2 1
Direct
0.667 0.333 0.409
0.000 0.000 0.590
0.667 0.333 0.092
0.667 0.333 0.749
0.000 0.000 0.250
0.333 0.667 0.500
0.333 0.667 0.001
0.000 0.000 0.909
```

Results
Space-group type: P3m1, No. 156

(6)
The following is a DFT calculation (PBE) of a geometry-optimized HoB2W2 structure.

```
HoB2W2
1.0
-1.847 1.847 5.115
1.847 -1.847 5.115
1.847 1.847 -5.115
B W Ho
2 2 1
Direct
0.409 0.409 0.000
0.591 0.591 0.000
0.250 0.750 0.500
0.750 0.250 0.500
0.000 0.000 0.000
```

Results
Space-group type: I4/mmm, No. 139

(7)
The following is a DFT calculation (PBE) of a geometry-optimized YHoB4 structure.

```
YHoB4
1.0
4.893 0.647 -1.109
1.928 -0.506 4.649
-2.394 -2.587 -3.629
B Y Ho
4 1 1
Direct
0.583 0.249 0.333
0.916 0.249 0.667
0.417 0.751 0.667
0.084 0.751 0.333
0.000 0.000 0.000
0.500 0.500 0.000
```

Results
Space-group type: Immm, No. 71

(8)
The following is a DFT calculation (PBE) of a geometry-optimized Y2Ho2B3 structure.

```
Y2Ho2B3
1.0
-6.130 8.055 -0.586
5.863 -7.783 -2.805
-4.069 -3.091 0.072
Y B Ho
2 3 2
Direct
0.683 0.317 0.500
0.317 0.683 0.500
0.000 0.000 0.000
0.739 0.261 0.000
0.261 0.739 0.000
0.873 0.127 0.000
0.127 0.873 0.000
```

Results
Space-group type: Cmmm, No. 65

Number 1: volume 80 Å³ per cell, uncorrected energy -5.482 eV per atom. Number 2: volume 72 Å³ per cell, uncorrected energy -5.575 eV per atom. Number 3: volume 189 Å³ per cell, uncorrected energy -4.637 eV per atom. Number 4: volume 189 Å³ per cell, uncorrected energy -4.637 eV per atom. Number 5: volume 187 Å³ per cell, uncorrected energy -4.629 eV per atom. Number 6: volume 70 Å³ per cell, uncorrected energy -9.037 eV per atom. Number 7: volume 72 Å³ per cell, uncorrected energy -6.870 eV per atom. Number 8: volume 174 Å³ per cell, uncorrected energy -5.270 eV per atom.